This record from the Alexandria database describes a crystal of LiPt2Cl relaxed with PBEsol. The functional is meta-GGA SCAN.

a = 2.8250 Å, b = 5.0245 Å, c = 4.4278 Å
α = 90.00°, β = 90.39°, γ = 90.00°
With the nearest neighbours (Å) after each atom.
Fractional positions:
Li 0.0000 0.0000 0.0000  4 Cl 2.62-2.63, 2 Li 2.82, 4 Pt 2.83
Pt 0.2532 0.5000 0.2492  6 Pt 2.61-2.82, 2 Cl 2.83, 2 Li 2.83
Pt 0.7468 0.5000 0.7508  6 Pt 2.61-2.82, 2 Cl 2.83, 2 Li 2.83
Cl 0.5000 0.0000 0.5000  4 Li 2.62-2.63, 2 Cl 2.82, 4 Pt 2.83

Calculated values
Formation energy from raw total energies, eV per atom: -0.2371
Offset from the most stable computed form, eV/f.u.: 0.56
Raw total energy, eV per cell: -151.7

=====

This record from the Alexandria database describes a crystal of CeIn2Pt2 relaxed with PBEsol. The functional is meta-GGA SCAN.

a = 10.1023 Å, b = 4.3951 Å, c = 10.1925 Å
α = 90.00°, β = 116.93°, γ = 90.00°
With the nearest neighbours (Å) after each atom.
Fractional positions:
Ce 0.0481 0.2500 0.2939  7 Pt 2.90-3.13
Ce 0.4015 0.2500 0.2098  5 Pt 2.87-3.16
Ce 0.5985 0.7500 0.7902  5 Pt 2.87-3.16
Ce 0.9519 0.7500 0.7061  7 Pt 2.90-3.13
In 0.1163 0.7500 0.0709  4 Pt 2.66-2.83
In 0.2300 0.7500 0.6013  6 Pt 2.75-2.88
In 0.3545 0.7500 0.9471  5 Pt 2.77-2.88
In 0.4065 0.2500 0.5373  4 Pt 2.75-2.76, 2 In 3.08
In 0.5935 0.7500 0.4627  4 Pt 2.75-2.76, 2 In 3.08
In 0.6455 0.2500 0.0529  5 Pt 2.77-2.88
In 0.7700 0.2500 0.3987  6 Pt 2.75-2.88
In 0.8837 0.2500 0.9291  4 Pt 2.66-2.83
Pt 0.0684 0.2500 0.6047  3 In 2.75-2.79, 4 Pt 2.84-2.94, 2 Ce 2.90
Pt 0.1592 0.2500 0.9187  5 In 2.83-2.88, 3 Ce 2.87-3.13, 2 Pt 2.90-3.01
Pt 0.2900 0.7500 0.3596  5 In 2.66-2.79
Pt 0.3788 0.2500 0.7948  6 In 2.76-2.88, 2 Pt 2.84-3.01
Pt 0.6212 0.7500 0.2052  6 In 2.76-2.88, 2 Pt 2.84-3.01
Pt 0.7100 0.2500 0.6404  5 In 2.66-2.79
Pt 0.8408 0.7500 0.0813  5 In 2.83-2.88, 3 Ce 2.87-3.13, 2 Pt 2.90-3.01
Pt 0.9316 0.7500 0.3953  3 In 2.75-2.79, 4 Pt 2.84-2.94, 2 Ce 2.90

Calculated values
Formation energy, eV/atom: -0.917
Raw total energy, eV per cell: -1025.2

=====

This record from the Alexandria database describes a crystal of Fe2CoRu relaxed with PBEsol. The functional is meta-GGA SCAN.

a = 4.7745 Å, b = 4.7745 Å, c = 2.4803 Å
α = 100.48°, β = 100.48°, γ = 116.90°
With the nearest neighbours (Å) after each atom.
Fractional positions:
Fe 0.0000 0.5000 0.0000  4 Fe 2.48-2.50, 2 Co 2.48, 2 Ru 2.48
Fe 0.5000 0.0000 0.0000  4 Fe 2.48-2.50, 2 Co 2.48, 2 Ru 2.48
Co 0.0000 0.0000 0.5000  2 Co 2.48, 4 Fe 2.48, 2 Ru 2.50
Ru 0.5000 0.5000 0.5000  2 Ru 2.48, 4 Fe 2.48, 2 Co 2.50

Calculated values
Formation energy, eV/atom: 0.019
Raw total energy, eV per cell: -88.3

=====

This record from the Alexandria database describes a crystal of AlHgN2 relaxed with PBEsol. The functional is meta-GGA SCAN.

a = 6.3537 Å, b = 6.3537 Å, c = 6.3537 Å
α = 27.66°, β = 27.66°, γ = 27.66°
With the nearest neighbours (Å) after each atom.
Fractional positions:
Al 0.0000 0.0000 0.0000  6 N 2.03
Hg 0.5000 0.5000 0.5000  2 N 2.04
N 0.3887 0.3887 0.3887  3 Al 2.03, 1 Hg 2.04
N 0.6113 0.6113 0.6113  3 Al 2.03, 1 Hg 2.04

Calculated values
Formation energy from raw total energies, eV per atom: 0.0150
Raw total energy, eV per cell: -94.4

=====

| no. | total magnetization (μB/cell) | ρ (g/cm3) |
| --- | --- | --- |
| 1 | 0.0 | 11.43 |
| 2 | 2.8 | 12.51 |
| 3 | 8.4 | 9.54 |
| 4 | 0.0 | 8.70 |